A relaxed Tl2TeHSe crystal. Source: Alexandria via LeMat-Bulk, functional PBE.

Calculated volume (A^3/atom): 27.5
Total DFT energy (no corrections) (eV/atom): -3.01

a b c (Å): 6.3395 6.3395 3.4205
angles (deg): 90.00 90.00 90.00
Space group P4/mmm (No. 123)
Inequivalent atoms, fractional coordinates:
Tl 0.0000 0.5000 0.0000 x2
Te 0.0000 0.0000 0.5000 x1
H 0.5000 0.5000 0.5000 x1
Se 0.5000 0.5000 0.0000 x1